# 1
Here is a relaxed Pm2PuAl crystal from Alexandria via LeMat-Bulk. Energies are from PBE-GGA.

Results
- ΔE to the lowest computed polymorph: 1 meV/atom
- Formation energy: -0.0647 eV/atom
- VASP energy: -6.959 eV/atom
- Calculated volume: 28.3 A^3/atom
- Spin magnetization: 1.63 μB/atom

Cell lengths 3.5853, 3.5853, 8.8020 Å; angles 90.00, 90.00, 90.00 degrees
Atoms (fractional coordinates):
Pm 0.0000 0.0000 0.2193
Pm 0.0000 0.0000 0.7807
Pu 0.5000 0.5000 0.5000
Al 0.5000 0.5000 0.0000

# 2
Here is a relaxed SbOs crystal from Alexandria via LeMat-Bulk. Energies are from PBE-GGA.

Results
- Formation energy from raw total energies: 0.59 eV per atom
- VASP energy: -7.084 eV/atom
- Calculated volume: 20.6 A^3/atom
- Spin magnetization: 0.00 μB/atom

Cell lengths 10.3516, 10.3516, 10.3516 Å; angles 16.98, 16.98, 16.98 degrees
Atoms (fractional coordinates):
Sb 0.1038 0.1038 0.1038
Sb 0.8962 0.8962 0.8962
Os 0.3671 0.3671 0.3671
Os 0.6329 0.6329 0.6329

# 3
Here is a relaxed NaZr2TlO crystal from Alexandria via LeMat-Bulk. Energies are from PBE-GGA.

Results
- Formation energy from raw total energies: -0.94 eV per atom
- VASP energy: -6.084 eV/atom
- Calculated volume: 18.7 A^3/atom
- Spin magnetization: 0.00 μB/atom

Cell lengths 4.4769, 4.4769, 4.6615 Å; angles 90.00, 90.00, 90.00 degrees
Atoms (fractional coordinates):
Na 0.0000 0.0000 0.0000
Zr 0.0000 0.5000 0.5000
Zr 0.5000 0.0000 0.5000
Tl 0.5000 0.5000 0.0000
O 0.0000 0.0000 0.5000

# 4
Here is a relaxed KBa2NaI6 crystal from Alexandria via LeMat-Bulk. Energies are from PBE-GGA.

Results
- Formation energy from raw total energies: -1.59 eV per atom
- VASP energy: -3.150 eV/atom
- Calculated volume: 50.7 A^3/atom
- Spin magnetization: 0.00 μB/atom

Cell lengths 9.2151, 9.2151, 9.2151 Å; angles 56.36, 56.36, 56.36 degrees
Atoms (fractional coordinates):
K 0.0000 0.0000 0.0000
Ba 0.2959 0.2959 0.2959
Ba 0.8005 0.8005 0.8005
Na 0.4941 0.4941 0.4941
I 0.1080 0.6908 0.4027
I 0.2188 0.5946 0.8769
I 0.4027 0.1080 0.6908
I 0.5946 0.8769 0.2188
I 0.6908 0.4027 0.1080
I 0.8769 0.2188 0.5946

# 5
Here is a relaxed Pr6SnOs crystal from Alexandria via LeMat-Bulk. Energies are from PBE-GGA.

Results
- Formation energy: -0.0742 eV/atom
- VASP energy: -5.563 eV/atom
- Calculated volume: 34.9 A^3/atom
- Spin magnetization: 0.00 μB/atom

Cell lengths 6.6203, 6.6203, 6.7865 Å; angles 98.70, 98.70, 104.57 degrees
Atoms (fractional coordinates):
Pr 0.0561 0.6862 0.7132
Pr 0.2905 0.2905 0.8593
Pr 0.3138 0.9439 0.2868
Pr 0.6862 0.0561 0.7132
Pr 0.7095 0.7095 0.1407
Pr 0.9439 0.3138 0.2868
Sn 0.5000 0.5000 0.5000
Os 0.0000 0.0000 0.0000

# 6
Here is a relaxed NiSbOs2 crystal from Alexandria via LeMat-Bulk. Energies are from PBE-GGA.

Results
- Formation energy from raw total energies: 0.43 eV per atom
- VASP energy: -7.661 eV/atom
- Calculated volume: 15.3 A^3/atom
- Spin magnetization: 0.00 μB/atom

Cell lengths 4.6560, 4.6560, 4.7610 Å; angles 99.31, 99.31, 36.86 degrees
Atoms (fractional coordinates):
Ni 0.0000 0.0000 0.0000
Sb 0.7517 0.7517 0.2303
Os 0.2534 0.2534 0.7486
Os 0.5080 0.5080 0.5401